Density functional theory data (PBE-GGA) for a geometry-optimized LaYSc structure.

Structure (extended XYZ):
```
6
Lattice="3.741 0.000 0.262 -0.001 3.751 0.007 -0.925 -0.022 13.447" Properties=species:S:1:pos:R:3 pbc="T T T"
La 3.115 1.088 2.405
La 1.066 2.959 4.818
Y 2.758 1.081 7.573
Y 0.499 2.947 13.097
Sc 2.509 1.075 11.194
Sc 0.748 2.953 9.476
```

Summary:
- DOS(E_F): 10.2 states/eV/cell
- E above lowest polymorph: 0.0 kJ per mole of atoms
- ΔE_f: 0.04 eV/atom